# La12HoIn6 PBE-GGA relaxed
data_La12HoIn6
_cell_length_a 11.9195
_cell_length_b 11.9195
_cell_length_c 14.7899
_cell_angle_alpha 90.00
_cell_angle_beta 90.00
_cell_angle_gamma 120.00
_symmetry_space_group_name_H-M 'R -3'
_symmetry_Int_Tables_number 148
_symmetry_space_group_name_Hall '-R 3'
loop_
_atom_site_label
_atom_site_fract_x
_atom_site_fract_y
_atom_site_fract_z
La1 0.0485 0.8581 0.3010
La2 0.0666 0.2236 0.9060
Ho1 0.0000 0.0000 0.5000
In1 0.0385 0.5913 0.2109
# - Energy of formation: -0.2719 eV/atom

# PrHfZn17 PBE-GGA relaxed
data_PrHfZn17
_cell_length_a 8.9373
_cell_length_b 8.9373
_cell_length_c 13.1181
_cell_angle_alpha 90.00
_cell_angle_beta 90.00
_cell_angle_gamma 120.00
_symmetry_space_group_name_H-M 'R 3 m'
_symmetry_Int_Tables_number 160
_symmetry_space_group_name_Hall 'R 3 -2"'
loop_
_atom_site_label
_atom_site_fract_x
_atom_site_fract_y
_atom_site_fract_z
Pr1 0.0000 0.0000 0.0000
Hf1 0.0000 0.0000 0.3343
Zn1 0.0000 0.0000 0.5585
Zn2 0.0000 0.0000 0.7576
Zn3 0.0378 0.3661 0.3315
Zn4 0.1693 0.3386 0.1467
Zn5 0.1723 0.3446 0.5007
Zn6 0.1800 0.3601 0.8469
# - Energy of formation: -0.1571 eV/atom

# BaY2Cd PBE-GGA relaxed
data_BaY2Cd
_cell_length_a 3.798
_cell_length_b 5.461
_cell_length_c 6.903
_cell_angle_alpha 90.00
_cell_angle_beta 104.29
_cell_angle_gamma 90.00
_symmetry_space_group_name_H-M 'P 1 2/m 1'
_symmetry_Int_Tables_number 10
_symmetry_space_group_name_Hall '-P 2y'
loop_
_atom_site_label
_atom_site_fract_x
_atom_site_fract_y
_atom_site_fract_z
Ba1 0.000 0.000 0.000
Y1 0.330 0.500 0.713
Cd1 0.500 0.000 0.500
# - Energy of formation: 0.0755 eV/atom

# Rb2PmC2O6 PBE-GGA relaxed
data_Rb2PmC2O6
_cell_length_a 5.7361
_cell_length_b 5.7361
_cell_length_c 7.4847
_cell_angle_alpha 90.00
_cell_angle_beta 90.00
_cell_angle_gamma 120.00
_symmetry_space_group_name_H-M 'P -3 m 1'
_symmetry_Int_Tables_number 164
_symmetry_space_group_name_Hall '-P 3 2"'
loop_
_atom_site_label
_atom_site_fract_x
_atom_site_fract_y
_atom_site_fract_z
Rb1 0.3333 0.6667 0.3118
Pm1 0.0000 0.0000 0.0000
C1 0.3333 0.6667 0.8436
O1 0.2022 0.4044 0.8376
# - Energy relative to the elements, uncorrected: -1858 meV per atom

# Th2Ga8Fe PBE-GGA relaxed
data_Th2Ga8Fe
_cell_length_a 4.359
_cell_length_b 4.359
_cell_length_c 11.463
_cell_angle_alpha 90.00
_cell_angle_beta 90.00
_cell_angle_gamma 90.00
_symmetry_space_group_name_H-M 'P 4/m m m'
_symmetry_Int_Tables_number 123
_symmetry_space_group_name_Hall '-P 4 2'
loop_
_atom_site_label
_atom_site_fract_x
_atom_site_fract_y
_atom_site_fract_z
Th1 0.000 0.000 0.199
Ga1 0.000 0.500 0.000
Ga2 0.000 0.500 0.390
Ga3 0.500 0.500 0.194
Fe1 0.000 0.000 0.500
# - Energy of formation: -0.4077 eV/atom

# Sr2CuHg PBE-GGA relaxed
data_Sr2CuHg
_cell_length_a 8.447
_cell_length_b 8.447
_cell_length_c 7.882
_cell_angle_alpha 90.00
_cell_angle_beta 90.00
_cell_angle_gamma 90.00
_symmetry_space_group_name_H-M 'I -4 2 d'
_symmetry_Int_Tables_number 122
_symmetry_space_group_name_Hall 'I -4 2bw'
loop_
_atom_site_label
_atom_site_fract_x
_atom_site_fract_y
_atom_site_fract_z
Sr1 0.225 0.750 0.125
Cu1 0.000 0.000 0.000
Hg1 0.000 0.000 0.500
# - Energy of formation: -0.0142 eV/atom
# - Relative energy among the computed polymorphs: 6.14 kcal/mol of atoms